Record 1
## Ac3La12Cd (PBE)

Data for an optimized crystal structure of Ac3La12Cd.

Cell and atoms, written as POSCAR:
```
Ac3La12Cd
1.0
5.301 0.000 0.000
0.000 5.301 0.000
0.000 0.000 21.064
Ac La Cd
3 12 1
Direct
0.000 0.000 0.000 Ac
0.000 0.000 0.257 Ac
0.000 0.000 0.743 Ac
0.000 0.500 0.128 La
0.000 0.500 0.383 La
0.000 0.500 0.617 La
0.000 0.500 0.872 La
0.500 0.000 0.128 La
0.500 0.000 0.383 La
0.500 0.000 0.617 La
0.500 0.000 0.872 La
0.500 0.500 0.000 La
0.500 0.500 0.258 La
0.500 0.500 0.500 La
0.500 0.500 0.742 La
0.000 0.000 0.500 Cd
```

Values from the calculation:
raw total energy: -4.54 eV per atom
space group: P4/mmm, No. 123
DOS at the Fermi energy: 25.35 states/eV/cell
ρ: 6.90 g cm⁻³

Record 2
## Ce2MgSe4 (PBE)

Data for an optimized crystal structure of Ce2MgSe4.

Cell and atoms, written as POSCAR:
```
Ce2MgSe4
1.0
13.562 0.000 0.000
0.000 4.141 0.000
0.000 0.000 14.560
Ce Mg Se
8 4 16
Direct
0.120 0.250 0.072 Ce
0.132 0.250 0.704 Ce
0.368 0.750 0.204 Ce
0.380 0.750 0.572 Ce
0.620 0.250 0.428 Ce
0.632 0.250 0.796 Ce
0.868 0.750 0.296 Ce
0.880 0.750 0.928 Ce
0.107 0.750 0.465 Mg
0.393 0.250 0.965 Mg
0.607 0.750 0.035 Mg
0.893 0.250 0.535 Mg
0.001 0.250 0.384 Se
0.027 0.250 0.885 Se
0.230 0.250 0.245 Se
0.231 0.250 0.515 Se
0.269 0.750 0.015 Se
0.270 0.750 0.745 Se
0.473 0.750 0.385 Se
0.499 0.750 0.884 Se
0.501 0.250 0.116 Se
0.527 0.250 0.615 Se
0.730 0.250 0.255 Se
0.731 0.250 0.985 Se
0.769 0.750 0.485 Se
0.770 0.750 0.755 Se
0.973 0.750 0.115 Se
0.999 0.750 0.616 Se
```

Values from the calculation:
space group: Pnma, No. 62
relative energy among the computed polymorphs: 0.048 eV per atom
DOS at the Fermi energy: 56.18 states/eV/cell
energy relative to the elements, uncorrected: -1.550 eV/atom
ρ: 5.04 g cm⁻³

Record 3
## KMnNi (PBE)

Data for an optimized crystal structure of KMnNi.

Cell and atoms, written as POSCAR:
```
KMnNi
1.0
3.403 0.000 0.000
0.036 3.491 0.000
0.985 0.455 11.736
K Mn Ni
2 2 2
Direct
0.000 0.000 0.000 K
0.430 0.438 0.356 K
0.118 0.077 0.614 Mn
0.657 0.686 0.614 Mn
0.099 0.603 0.762 Ni
0.590 0.125 0.762 Ni
```

Values from the calculation:
space group: P1, No. 1
relative energy among the computed polymorphs: 0.188 eV per atom
DOS at the Fermi energy: 6.83 states/eV/cell
ρ: 3.64 g cm⁻³

Record 4
## YMnTlCl6 (PBE)

Data for an optimized crystal structure of YMnTlCl6.

Cell and atoms, written as POSCAR:
```
YMnTlCl6
1.0
6.483 0.000 0.000
-3.241 5.614 0.000
0.000 0.000 14.594
Y Mn Tl Cl
2 2 2 12
Direct
0.333 0.667 0.250 Y
0.667 0.333 0.750 Y
0.333 0.667 0.750 Mn
0.667 0.333 0.250 Mn
0.000 0.000 0.000 Tl
0.000 0.000 0.500 Tl
0.033 0.381 0.652 Cl
0.033 0.652 0.848 Cl
0.348 0.381 0.848 Cl
0.348 0.967 0.652 Cl
0.381 0.033 0.152 Cl
0.381 0.348 0.348 Cl
0.619 0.652 0.652 Cl
0.619 0.967 0.848 Cl
0.652 0.033 0.348 Cl
0.652 0.619 0.152 Cl
0.967 0.348 0.152 Cl
0.967 0.619 0.348 Cl
```

Values from the calculation:
space group: P-31c, No. 163
DOS at the Fermi energy: 16.88 states/eV/cell
energy relative to the elements, uncorrected: -1.362 eV/atom
ρ: 3.51 g cm⁻³

Record 5
## ZnPbCl3 (PBE)

Data for an optimized crystal structure of ZnPbCl3.

Cell and atoms, written as POSCAR:
```
ZnPbCl3
1.0
5.560 0.000 0.000
0.000 5.560 0.000
0.000 0.000 5.560
Zn Pb Cl
1 1 3
Direct
0.000 0.000 0.000 Zn
0.500 0.500 0.500 Pb
0.000 0.500 0.500 Cl
0.500 0.000 0.500 Cl
0.500 0.500 0.000 Cl
```

Values from the calculation:
space group: Pm-3m, No. 221
relative energy among the computed polymorphs: 0.191 eV per atom
DOS at the Fermi energy: 2.20 states/eV/cell
energy relative to the elements, uncorrected: -0.495 eV/atom
ρ: 3.66 g cm⁻³

Record 6
## Er5Ni2Pd (PBE)

Data for an optimized crystal structure of Er5Ni2Pd.

Cell and atoms, written as POSCAR:
```
Er5Ni2Pd
1.0
-3.707 3.707 6.564
3.707 -3.707 6.564
3.707 3.707 -6.564
Er Ni Pd
10 4 2
Direct
0.000 0.000 0.000 Er
0.025 0.525 0.829 Er
0.196 0.025 0.500 Er
0.304 0.804 0.829 Er
0.475 0.304 0.500 Er
0.500 0.500 0.000 Er
0.525 0.696 0.500 Er
0.696 0.196 0.171 Er
0.804 0.975 0.500 Er
0.975 0.475 0.171 Er
0.127 0.373 0.500 Ni
0.373 0.873 0.247 Ni
0.627 0.127 0.753 Ni
0.873 0.627 0.500 Ni
0.250 0.250 0.000 Pd
0.750 0.750 0.000 Pd
```

Values from the calculation:
raw total energy: -5.43 eV per atom
space group: I4/mcm, No. 140
DOS at the Fermi energy: 13.32 states/eV/cell
ρ: 9.76 g cm⁻³

Record 7
## DyH3Rh (PBE)

Data for an optimized crystal structure of DyH3Rh.

Cell and atoms, written as POSCAR:
```
DyH3Rh
1.0
5.692 -1.913 0.000
5.692 1.913 0.000
-0.080 0.000 4.682
Dy H Rh
2 6 2
Direct
0.000 0.000 0.000 Dy
0.735 0.735 0.511 Dy
0.169 0.169 0.273 H
0.178 0.178 0.754 H
0.428 0.428 0.152 H
0.558 0.558 0.751 H
0.783 0.783 0.012 H
0.946 0.946 0.508 H
0.278 0.278 0.020 Rh
0.442 0.442 0.515 Rh
```

Values from the calculation:
raw total energy: -5.02 eV per atom
space group: Cm, No. 8
DOS at the Fermi energy: 0.28 states/eV/cell
ρ: 8.74 g cm⁻³

Record 8
## TaCoW2 (PBE)

Data for an optimized crystal structure of TaCoW2.

Cell and atoms, written as POSCAR:
```
TaCoW2
1.0
4.805 -1.394 0.000
4.805 1.394 0.000
-1.194 0.000 4.613
Ta Co W
1 1 2
Direct
0.000 0.000 0.000 Ta
0.500 0.500 0.500 Co
0.228 0.228 0.728 W
0.772 0.772 0.272 W
```

Values from the calculation:
space group: C2/m, No. 12
relative energy among the computed polymorphs: 0.168 eV per atom
DOS at the Fermi energy: 3.99 states/eV/cell
ρ: 16.33 g cm⁻³